(1)
MnTcRu: relaxed, PBE.

a b c (Å): 2.669 5.347 5.892
angles (deg): 76.61 76.91 89.97
Atoms (fractional coordinates):
Tc (0.001, 0.731, 0.000)
Mn (0.323, 0.424, 0.356)
Ru (0.670, 0.098, 0.661)
Mn (0.677, 0.576, 0.644)
Ru (0.330, 0.902, 0.339)
Tc (0.999, 0.269, 0.000)

Space-group type ... P-1
E ... -9.50 eV per atom
Formation energy ... 0.297 eV per formula unit
ΔE to the lowest computed polymorph ... 16.3 meV/atom



(2)
Pr3Al3Ag: relaxed, PBE.

a b c (Å): 4.636 3.818 10.668
angles (deg): 100.31 102.55 90.00
Atoms (fractional coordinates):
Pr (0.307, 0.807, 0.614)
Al (0.565, 0.565, 0.131)
Al (0.863, 0.363, 0.726)
Pr (0.002, 0.002, 0.004)
Ag (0.434, 0.434, 0.868)
Al (0.136, 0.636, 0.271)
Pr (0.693, 0.193, 0.386)

Space-group type ... Imm2
E ... -4.40 eV per atom
Formation energy ... -2.381 eV per formula unit



(3)
Pm3Tm5Mg2: relaxed, PBE.

a b c (Å): 6.288 10.674 10.674
angles (deg): 96.55 72.87 72.87
Atoms (fractional coordinates):
Pm (0.750, 0.000, 0.000)
Pm (0.400, 0.360, 0.841)
Tm (0.648, 0.193, 0.511)
Tm (0.148, 0.511, 0.193)
Pm (0.900, 0.841, 0.360)
Pm (0.250, 0.000, 0.000)
Mg (0.142, 0.707, 0.009)
Mg (0.858, 0.293, 0.991)
Tm (0.502, 0.748, 0.748)
Tm (0.250, 0.500, 0.500)
Tm (0.002, 0.748, 0.748)
Tm (0.352, 0.807, 0.489)
Tm (0.998, 0.252, 0.252)
Mg (0.358, 0.991, 0.293)
Tm (0.498, 0.252, 0.252)
Pm (0.100, 0.159, 0.640)
Tm (0.750, 0.500, 0.500)
Pm (0.600, 0.640, 0.159)
Tm (0.852, 0.489, 0.807)
Mg (0.642, 0.009, 0.707)

Space-group type ... Ibam
E ... -3.69 eV per atom
Formation energy ... 2.855 eV per formula unit



(4)
Sr2CeGa: relaxed, PBE.

a b c (Å): 3.783 3.783 12.333
angles (deg): 81.18 81.18 60.00
Atoms (fractional coordinates):
Sr (0.101, 0.101, 0.698)
Ga (0.500, 0.500, 0.500)
Sr (0.899, 0.899, 0.302)
Ce (0.000, 0.000, 0.000)

Space-group type ... R-3m
E ... -2.88 eV per atom
Formation energy ... 0.810 eV per formula unit



(5)
La3Rh: relaxed, PBE.

a b c (Å): 6.035 6.035 6.035
angles (deg): 90.00 90.00 90.00
Atoms (fractional coordinates):
La (0.500, 0.000, 0.250)
Rh (0.500, 0.500, 0.500)
Rh (0.000, 0.000, 0.000)
La (0.000, 0.250, 0.500)
La (0.000, 0.750, 0.500)
La (0.750, 0.500, 0.000)
La (0.500, 0.000, 0.750)
La (0.250, 0.500, 0.000)

Space-group type ... Pm-3n
E ... -5.63 eV per atom
Formation energy ... -0.367 eV per formula unit



(6)
Pm2Pd2Rh: relaxed, PBE.

a b c (Å): 6.077 6.217 7.588
angles (deg): 114.18 113.60 90.00
Atoms (fractional coordinates):
Pm (0.139, 0.917, 0.278)
Pd (0.629, 0.886, 0.258)
Pm (0.861, 0.083, 0.722)
Pm (0.639, 0.361, 0.278)
Pm (0.361, 0.639, 0.722)
Rh (0.750, 0.500, 0.000)
Pd (0.129, 0.372, 0.258)
Rh (0.250, 0.500, 0.000)
Pd (0.371, 0.114, 0.742)
Pd (0.871, 0.628, 0.742)

Space-group type ... Ibam
E ... -6.05 eV per atom
Formation energy ... -3.029 eV per formula unit
ΔE to the lowest computed polymorph ... 104.6 meV/atom



(7)
NdDyEr2Tm5: relaxed, PBE.

a b c (Å): 5.545 10.184 10.481
angles (deg): 90.00 90.00 105.80
Atoms (fractional coordinates):
Tm (0.018, 0.036, 0.026)
Tm (0.611, 0.223, 0.522)
Dy (0.200, 0.401, 0.012)
Er (0.110, 0.221, 0.735)
Er (0.887, 0.774, 0.819)
Tm (0.389, 0.777, 0.022)
Tm (0.299, 0.597, 0.711)
Tm (0.719, 0.437, 0.811)
Er (0.113, 0.226, 0.319)
Tm (0.522, 0.043, 0.236)
Tm (0.701, 0.403, 0.211)
Dy (0.800, 0.599, 0.512)
Nd (0.583, 0.167, 0.952)
Nd (0.417, 0.833, 0.452)
Er (0.890, 0.779, 0.235)
Tm (0.281, 0.563, 0.311)
Tm (0.982, 0.964, 0.526)
Tm (0.478, 0.957, 0.736)

Space-group type ... Cmc2_1
E ... -4.37 eV per atom
Formation energy ... 1.495 eV per formula unit



(8)
CaNdMgCd: relaxed, PBE.

a b c (Å): 5.478 5.478 5.478
angles (deg): 60.00 60.00 60.00
Atoms (fractional coordinates):
Cd (0.250, 0.250, 0.250)
Nd (0.500, 0.500, 0.500)
Mg (0.750, 0.750, 0.750)
Ca (0.000, 0.000, 0.000)

Space-group type ... F-43m
E ... -2.55 eV per atom
Formation energy ... -0.912 eV per formula unit



(9)
Rb3RuBr2F6: relaxed, PBE.

a b c (Å): 5.406 7.871 9.038
angles (deg): 115.81 91.75 90.00
Atoms (fractional coordinates):
Rb (0.000, 0.500, 0.000)
Br (0.001, 0.297, 0.594)
Br (0.999, 0.703, 0.406)
F (0.263, 0.154, 0.958)
F (0.737, 0.196, 0.042)
Ru (0.500, 0.000, 0.000)
Rb (0.500, 0.000, 0.500)
F (0.737, 0.846, 0.042)
F (0.571, 0.885, 0.770)
F (0.263, 0.804, 0.958)
F (0.429, 0.115, 0.230)
Rb (0.500, 0.500, 0.500)

Space-group type ... C2/m
E ... -4.19 eV per atom
Formation energy (no corrections) ... -1.961 eV per atom



(10)
TaNb3Mo: relaxed, PBE.

a b c (Å): 6.506 5.446 8.066
angles (deg): 137.47 66.30 107.13
Atoms (fractional coordinates):
Nb (0.896, 0.193, 0.804)
Ta (0.297, 0.416, 0.612)
Nb (0.396, 0.188, 0.802)
Mo (0.000, 0.000, 0.000)
Nb (0.104, 0.807, 0.196)
Nb (0.202, 0.593, 0.391)
Ta (0.703, 0.584, 0.388)
Nb (0.798, 0.407, 0.609)
Mo (0.500, 0.000, 0.000)
Nb (0.604, 0.812, 0.198)

Space-group type ... P-1
E ... -10.66 eV per atom
Formation energy ... -0.390 eV per formula unit
ΔE to the lowest computed polymorph ... 0.0 meV/atom



(11)
Ti3NbF: relaxed, PBE.

a b c (Å): 4.840 4.840 4.840
angles (deg): 90.00 90.00 90.00
Atoms (fractional coordinates):
Ti (0.000, 0.500, 0.000)
F (0.500, 0.500, 0.500)
Nb (0.000, 0.000, 0.000)
Ti (0.500, 0.000, 0.000)
Ti (0.000, 0.000, 0.500)

Space-group type ... Pm-3m
E ... -6.19 eV per atom
Formation energy (no corrections) ... 0.930 eV per atom
ΔE to the lowest computed polymorph ... 1481.7 meV/atom



(12)
SiAg4Ru: relaxed, PBE.

a b c (Å): 5.356 5.356 5.356
angles (deg): 60.00 60.00 60.00
Atoms (fractional coordinates):
Ru (0.750, 0.750, 0.750)
Ag (0.375, 0.875, 0.375)
Ag (0.375, 0.375, 0.875)
Ag (0.375, 0.375, 0.375)
Ag (0.875, 0.375, 0.375)
Si (0.000, 0.000, 0.000)

Space-group type ... F-43m
E ... -3.60 eV per atom
Formation energy (no corrections) ... 0.754 eV per atom



(13)
YVTcP2: relaxed, PBE.

a b c (Å): 4.674 4.600 4.674
angles (deg): 90.00 90.00 90.00
Atoms (fractional coordinates):
P (0.000, 0.000, 0.500)
V (0.000, 0.500, 0.000)
Tc (0.000, 0.000, 0.000)
P (0.500, 0.000, 0.000)
Y (0.500, 0.500, 0.500)

Space-group type ... P4/mmm
E ... -7.20 eV per atom
Formation energy ... 0.767 eV per formula unit



(14)
TmBe17Cu: relaxed, PBE.

a b c (Å): 5.659 5.659 5.659
angles (deg): 83.01 83.01 83.01
Atoms (fractional coordinates):
Be (0.162, 0.656, 0.656)
Be (0.290, 0.705, 0.006)
Be (0.006, 0.705, 0.290)
Be (0.290, 0.006, 0.705)
Be (0.904, 0.904, 0.904)
Be (0.656, 0.656, 0.162)
Be (0.340, 0.340, 0.862)
Be (0.340, 0.862, 0.340)
Be (0.006, 0.290, 0.705)
Be (0.100, 0.100, 0.100)
Be (0.990, 0.508, 0.990)
Be (0.508, 0.990, 0.990)
Be (0.862, 0.340, 0.340)
Cu (0.332, 0.332, 0.332)
Be (0.705, 0.290, 0.006)
Be (0.990, 0.990, 0.508)
Be (0.656, 0.162, 0.656)
Be (0.705, 0.006, 0.290)
Tm (0.656, 0.656, 0.656)

Space-group type ... R3m
E ... -3.81 eV per atom
Formation energy ... -0.513 eV per formula unit



(15)
Tb3Pm6Pr2In: relaxed, PBE.

a b c (Å): 6.221 6.221 11.933
angles (deg): 95.01 95.01 120.08
Atoms (fractional coordinates):
Pr (0.334, 0.666, 0.000)
Pm (0.591, 0.917, 0.749)
Tb (0.833, 0.167, 0.500)
Pm (0.917, 0.591, 0.749)
Pm (0.083, 0.409, 0.251)
Tb (0.167, 0.833, 0.500)
Pr (0.666, 0.334, 0.000)
Pm (0.242, 0.242, 0.749)
Pm (0.758, 0.758, 0.251)
In (0.000, 0.000, 0.000)
Pm (0.409, 0.083, 0.251)
Tb (0.500, 0.500, 0.500)

Space-group type ... C2/m
E ... -4.61 eV per atom
Formation energy ... -0.658 eV per formula unit



(16)
ZrNbCu2: relaxed, PBE.

a b c (Å): 3.244 3.244 6.254
angles (deg): 90.00 90.00 90.00
Atoms (fractional coordinates):
Zr (0.500, 0.500, 0.500)
Cu (0.000, 0.000, 0.229)
Nb (0.500, 0.500, 0.000)
Cu (0.000, 0.000, 0.771)

Space-group type ... P4/mmm
E ... -6.66 eV per atom
Formation energy ... 0.160 eV per formula unit
ΔE to the lowest computed polymorph ... 0.0 meV/atom



(17)
YH12Rh7: relaxed, PBE.

a b c (Å): 9.571 5.543 5.543
angles (deg): 89.83 54.86 125.14
Atoms (fractional coordinates):
Rh (0.530, 0.281, 0.541)
H (0.416, 0.866, 0.772)
H (0.843, 0.460, 0.217)
Rh (0.470, 0.719, 0.459)
Rh (0.248, 0.177, 0.281)
H (0.060, 0.217, 0.324)
Rh (0.752, 0.823, 0.719)
Rh (0.500, 0.000, 0.000)
H (0.617, 0.676, 0.540)
H (0.188, 0.772, 0.362)
H (0.550, 0.362, 0.866)
H (0.157, 0.540, 0.783)
Rh (0.929, 0.459, 0.823)
H (0.383, 0.324, 0.460)
Rh (0.071, 0.541, 0.177)
H (0.940, 0.783, 0.676)
H (0.450, 0.638, 0.134)
Y (0.000, 0.000, 0.000)
H (0.812, 0.228, 0.638)
H (0.584, 0.134, 0.228)

Space-group type ... R-3
E ... -4.99 eV per atom



(18)
AcPmHg2: relaxed, PBE.

a b c (Å): 3.984 3.984 9.906
angles (deg): 78.40 78.40 60.00
Atoms (fractional coordinates):
Hg (0.744, 0.744, 0.767)
Ac (0.500, 0.500, 0.500)
Pm (0.000, 0.000, 0.000)
Hg (0.256, 0.256, 0.233)

Space-group type ... R-3m
E ... -2.68 eV per atom
Formation energy ... -1.258 eV per formula unit
ΔE to the lowest computed polymorph ... 149.7 meV/atom



(19)
Ho6CCl12: relaxed, PBE.

a b c (Å): 7.982 7.982 7.982
angles (deg): 73.22 73.22 73.22
Atoms (fractional coordinates):
Cl (0.429, 0.882, 0.882)
Cl (0.882, 0.429, 0.882)
Cl (0.571, 0.118, 0.118)
Cl (0.437, 0.828, 0.437)
Cl (0.882, 0.882, 0.429)
Ho (0.182, 0.786, 0.786)
Cl (0.118, 0.571, 0.118)
Cl (0.563, 0.172, 0.563)
Ho (0.786, 0.182, 0.786)
Cl (0.118, 0.118, 0.571)
Cl (0.172, 0.563, 0.563)
C (0.000, 0.000, 0.000)
Ho (0.818, 0.214, 0.214)
Cl (0.563, 0.563, 0.172)
Ho (0.214, 0.818, 0.214)
Ho (0.214, 0.214, 0.818)
Cl (0.828, 0.437, 0.437)
Cl (0.437, 0.437, 0.828)
Ho (0.786, 0.786, 0.182)

Space-group type ... R-3m
E ... -4.84 eV per atom
Formation energy (no corrections) ... -1.742 eV per atom



(20)
Li2TiHgBi: relaxed, PBE.

a b c (Å): 5.064 5.452 5.064
angles (deg): 90.00 90.00 90.00
Atoms (fractional coordinates):
Hg (0.500, 0.500, 0.500)
Bi (0.000, 0.000, 0.000)
Ti (0.000, 0.500, 0.000)
Li (0.000, 0.000, 0.500)
Li (0.500, 0.000, 0.000)

Space-group type ... P4/mmm
E ... -2.95 eV per atom
Formation energy ... 1.170 eV per formula unit